VASP calculation (SCAN) on a crystal of RbBi2Au relaxed with PBEsol.

a = 5.3096 Å, b = 5.3096 Å, c = 20.2603 Å
α = 90.00°, β = 90.00°, γ = 90.00°
Atoms (fractional coordinates):
Rb  0.0000  0.0000  0.0000
Rb  0.0000  0.5000  0.2500
Rb  0.5000  0.0000  0.7500
Rb  0.5000  0.5000  0.5000
Bi  0.1438  0.2500  0.6250
Bi  0.2500  0.6438  0.8750
Bi  0.2500  0.8562  0.3750
Bi  0.3562  0.2500  0.1250
Bi  0.6438  0.7500  0.1250
Bi  0.7500  0.1438  0.3750
Bi  0.7500  0.3562  0.8750
Bi  0.8562  0.7500  0.6250
Au  0.0000  0.0000  0.5000
Au  0.0000  0.5000  0.7500
Au  0.5000  0.0000  0.2500
Au  0.5000  0.5000  0.0000

Computed properties:
calculated formation energy: -7.1 kJ per mole of atoms



VASP calculation (SCAN) on a crystal of ReBiAu3 relaxed with PBEsol.

a = 5.2318 Å, b = 5.2318 Å, c = 5.2318 Å
α = 90.00°, β = 90.00°, γ = 90.00°
Atoms (fractional coordinates):
Re  0.0000  0.0000  0.0000
Bi  0.5000  0.5000  0.5000
Au  0.0000  0.5000  0.5000
Au  0.5000  0.0000  0.5000
Au  0.5000  0.5000  0.0000

Computed properties:
calculated formation energy: 171.4 kJ per mole of atoms



VASP calculation (SCAN) on a crystal of Bi2RhAu relaxed with PBEsol.

a = 7.6803 Å, b = 7.6803 Å, c = 6.1937 Å
α = 90.00°, β = 90.00°, γ = 90.00°
Atoms (fractional coordinates):
Bi  0.2237  0.7500  0.1250
Bi  0.2500  0.2237  0.8750
Bi  0.2500  0.2763  0.3750
Bi  0.2763  0.7500  0.6250
Bi  0.7237  0.2500  0.6250
Bi  0.7500  0.7237  0.3750
Bi  0.7500  0.7763  0.8750
Bi  0.7763  0.2500  0.1250
Rh  0.0000  0.0000  0.0000
Rh  0.0000  0.5000  0.2500
Rh  0.5000  0.0000  0.7500
Rh  0.5000  0.5000  0.5000
Au  0.0000  0.0000  0.5000
Au  0.0000  0.5000  0.7500
Au  0.5000  0.0000  0.2500
Au  0.5000  0.5000  0.0000

Computed properties:
calculated formation energy: 22.3 kJ per mole of atoms